No. 1
10
Lattice="8.092 0.000 0.000 0.000 8.092 0.000 0.000 0.000 3.643" Properties=species:S:1:pos:R:3 comment="Sn2AsS2 | Alexandria | PBE | optimized geometry" total_magnetization_mub_per_cell=0.00 vol_a3_per_atom=23.86 dft_energy_ev_per_atom=-4.133 polymorph_energy_mev_per_atom=0 pbc="T T T"
Sn 1.728 2.318 0.000
Sn 6.364 5.774 0.000
Sn 2.318 6.364 0.000
Sn 5.774 1.728 0.000
S 5.082 7.056 1.822
S 3.010 1.036 1.822
S 1.036 5.082 1.822
S 7.056 3.010 1.822
As 0.000 0.000 0.000
As 4.046 4.046 0.000

---

No. 2
4
Lattice="2.170 0.000 8.107 -1.085 1.879 8.107 -1.085 -1.879 8.107" Properties=species:S:1:pos:R:3 comment="SnAsS2 | Alexandria | PBE | optimized geometry" total_magnetization_mub_per_cell=0.00 vol_a3_per_atom=24.79 dft_energy_ev_per_atom=-4.198 pbc="T T T"
S 0.000 0.000 2.432
S 0.000 0.000 21.890
Sn 0.000 0.000 12.161
As 0.000 0.000 0.000

---

No. 3
11
Lattice="5.878 -0.362 -0.414 -0.820 7.140 -0.068 -0.820 -1.017 7.068" Properties=species:S:1:pos:R:3 comment="Sn2As2S7 | Alexandria | PBE | optimized geometry" total_magnetization_mub_per_cell=0.00 vol_a3_per_atom=26.49 dft_energy_ev_per_atom=-4.213 pbc="T T T"
S 3.584 2.291 2.619
S 0.801 0.114 2.979
S 2.939 -0.181 -0.207
S 0.801 2.937 0.510
S 3.437 2.824 6.076
S 3.437 5.647 3.607
S 0.654 3.470 3.967
As 1.998 1.221 1.396
As 2.240 4.540 5.190
Sn -0.820 4.697 2.070
Sn -0.820 1.426 4.930

---

No. 4
8
Lattice="-2.699 -1.503 2.706 4.253 -5.649 1.104 4.602 1.311 5.317" Properties=species:S:1:pos:R:3 comment="Sn4As3S | Alexandria | PBE | optimized geometry" total_magnetization_mub_per_cell=0.00 vol_a3_per_atom=24.59 dft_energy_ev_per_atom=-4.381 pbc="T T T"
S 0.891 -3.633 1.984
Sn 2.930 -4.629 3.466
Sn 6.642 -3.271 4.807
Sn 2.216 -1.074 1.614
Sn 3.030 -1.113 5.519
As 0.032 -0.028 0.017
As 0.967 -0.105 4.021
As 4.461 -2.172 3.243

---

No. 5
12
Lattice="-3.062 -2.308 -1.443 5.069 -6.578 -0.237 -2.010 0.698 8.964" Properties=species:S:1:pos:R:3 comment="Tb6SnAs3S2 | Alexandria | PBE | optimized geometry" total_magnetization_mub_per_cell=0.00 vol_a3_per_atom=24.82 dft_energy_ev_per_atom=-6.047 pbc="T T T"
S 0.516 -2.389 2.724
S -0.520 -5.799 4.559
Tb 0.249 -5.153 1.896
Tb -1.325 -6.449 7.307
Tb -0.252 -3.035 5.388
Tb -2.311 -1.878 2.090
Tb 1.321 -1.738 -0.024
Tb 2.308 -6.310 5.194
As -3.039 -2.572 4.746
As 1.003 -4.443 -0.840
As 3.036 -5.616 2.538
Sn -1.531 -1.154 -0.722

---

No. 6
12
Lattice="4.224 0.000 0.000 0.000 8.594 0.987 0.000 -1.185 10.430" Properties=species:S:1:pos:R:3 comment="Sn3TeAsS | Alexandria | PBE | optimized geometry" total_magnetization_mub_per_cell=0.00 vol_a3_per_atom=31.97 dft_energy_ev_per_atom=-4.189 pbc="T T T"
Sn 1.056 0.315 9.082
Sn 1.056 4.191 9.871
Sn 3.168 0.916 4.539
Sn 1.056 6.494 6.879
Sn 3.168 3.218 1.547
Sn 3.168 7.094 2.336
S 1.056 0.483 6.260
S 3.168 6.926 5.158
Te 1.056 0.768 1.784
Te 3.168 6.641 9.634
As 1.056 5.077 2.177
As 3.168 2.332 9.240

---

No. 7
12
Lattice="7.488 -0.015 -0.001 -3.755 6.479 -0.001 -1.246 -2.157 7.031" Properties=species:S:1:pos:R:3 comment="Sn6Te3AsS2 | Alexandria | PBE | optimized geometry" total_magnetization_mub_per_cell=0.00 vol_a3_per_atom=28.39 dft_energy_ev_per_atom=-4.116 pbc="T T T"
Te 1.244 2.153 3.515
Te 5.019 -0.027 3.515
Te -2.532 4.334 3.515
Sn -0.011 -0.019 5.444
Sn 3.730 2.161 5.468
Sn 2.480 -0.004 1.562
Sn 0.007 4.311 5.468
Sn 2.499 4.326 1.586
Sn -1.243 2.146 1.562
S -0.029 4.327 -0.001
S 3.762 2.137 -0.001
As 0.000 0.000 0.000

---

No. 8
12
Lattice="-1.711 -0.395 3.897 -4.693 -6.699 -2.740 8.870 -3.775 1.168" Properties=species:S:1:pos:R:3 comment="Sn6Te3As2S | Alexandria | PBE | optimized geometry" total_magnetization_mub_per_cell=0.00 vol_a3_per_atom=28.26 dft_energy_ev_per_atom=-4.100 pbc="T T T"
As 1.371 -7.312 2.205
As 1.094 -3.558 0.120
Sn 3.463 -9.235 2.928
Sn -0.732 -5.364 1.479
Sn 1.289 -2.151 2.692
Sn -0.998 -1.634 -0.604
Sn 3.198 -5.505 0.846
Sn 1.177 -8.718 -0.367
Te -1.229 -6.915 -1.241
Te 3.695 -3.954 3.565
Te -3.202 -3.547 0.578
S -0.855 -0.198 1.948

---

No. 9
12
Lattice="-1.508 -3.415 1.474 3.022 1.845 7.368 -7.282 5.331 -0.564" Properties=species:S:1:pos:R:3 comment="Tm6SnAs3S2 | Alexandria | PBE | optimized geometry" total_magnetization_mub_per_cell=0.00 vol_a3_per_atom=23.48 dft_energy_ev_per_atom=-5.913 pbc="T T T"
Tm -2.511 4.064 6.848
Tm -6.532 3.257 6.328
Tm 0.764 0.504 1.949
Tm -4.092 3.176 3.171
Tm -1.676 0.585 5.107
Tm -3.257 -0.303 1.430
S -1.708 1.863 2.568
S -4.060 1.898 5.710
As 0.757 -0.785 4.421
As -5.610 1.025 2.100
As -0.158 2.736 6.177
Sn -0.754 -1.707 0.737

---

No. 10
12
Lattice="3.994 0.000 0.000 0.000 8.042 0.330 -1.997 -2.277 8.441" Properties=species:S:1:pos:R:3 comment="Tm6SnAs2S3 | Alexandria | PBE | optimized geometry" total_magnetization_mub_per_cell=0.00 vol_a3_per_atom=22.85 dft_energy_ev_per_atom=-5.933 pbc="T T T"
Tm 0.000 5.898 0.247
Tm 0.000 1.838 5.738
Tm 0.000 5.851 5.840
Tm 1.997 3.927 3.033
Tm 1.997 -0.133 8.524
Tm 1.997 -0.086 2.930
Sn 1.997 0.000 0.000
S 0.000 5.926 3.095
S 1.997 4.021 0.165
S 1.997 -0.161 5.676
As 0.000 1.930 2.930
As 1.997 3.835 5.840

---

No. 11
7
Lattice="5.006 0.000 0.000 -2.503 4.335 0.000 0.000 0.000 8.143" Properties=species:S:1:pos:R:3 comment="U2SnAs2S2 | Alexandria | PBE | optimized geometry" total_magnetization_mub_per_cell=3.20 vol_a3_per_atom=25.24 dft_energy_ev_per_atom=-6.576 pbc="T T T"
Sn 0.000 0.000 0.000
S 2.503 1.445 5.124
S 0.000 2.890 3.020
U 0.000 2.890 5.647
U 2.503 1.445 2.496
As 0.000 0.000 5.481
As 0.000 0.000 2.662

---

No. 12
5
Lattice="5.139 0.000 0.000 0.000 4.954 0.000 0.000 0.000 5.139" Properties=species:S:1:pos:R:3 comment="SnAsW2S | Alexandria | PBE | optimized geometry" total_magnetization_mub_per_cell=3.59 vol_a3_per_atom=26.17 dft_energy_ev_per_atom=-5.159 pbc="T T T"
W 2.570 0.000 0.000
W 0.000 0.000 2.570
As 0.000 2.477 0.000
Sn 0.000 0.000 0.000
S 2.570 2.477 2.570